Compound: CuP3Pt
Source: Alexandria via LeMat-Bulk
Functional: meta-GGA SCAN
Structure: PBEsol geometry

Cell and atoms, written as extended XYZ:
```
5
Lattice="-2.059 1.630 -3.449 -3.352 -2.644 0.751 -1.821 3.024 2.517" Properties=species:S:1:pos:R:3 pbc="T T T"
P -0.910 1.512 1.258
P -1.030 0.815 -1.724
P -1.676 -1.322 0.376
Cu 0.000 0.000 0.000
Pt -3.616 1.005 -0.090
```

Output
Energy relative to the elements, eV/f.u.: 5.4
DOS(E_F), states/eV per atom: 0.47
SG: Pm-3m (221)



Compound: ZrB4Ir3
Source: Alexandria via LeMat-Bulk
Functional: meta-GGA SCAN
Structure: PBEsol geometry

Cell and atoms, written as extended XYZ:
```
16
Lattice="-2.130 0.714 -2.726 -5.216 -4.608 2.871 0.031 7.289 1.884" Properties=species:S:1:pos:R:3 pbc="T T T"
Ir -4.413 -2.728 1.591
Ir -2.233 0.533 0.741
Ir -5.353 0.803 3.250
Ir -5.083 2.862 1.289
Ir -2.903 6.123 0.439
Ir -1.963 2.591 -1.221
B -3.657 1.428 2.088
B -4.449 4.915 1.331
B -3.658 1.967 -0.059
B -2.867 -1.520 0.698
B -5.475 -1.300 2.795
B 0.000 0.000 0.000
B -1.840 4.695 -0.765
B -1.065 0.357 -1.363
Zr -5.065 -0.107 0.498
Zr -2.251 3.502 1.532
```

Output
Energy relative to the elements, eV/f.u.: -5.1
DOS(E_F), states/eV per atom: 0.31
SG: P6_3/m (176)



Compound: Li2CoNi
Source: Alexandria via LeMat-Bulk
Functional: meta-GGA SCAN
Structure: PBEsol geometry

Cell and atoms, written as extended XYZ:
```
4
Lattice="2.479 0.000 0.000 0.000 4.150 0.000 -1.240 -2.075 4.263" Properties=species:S:1:pos:R:3 pbc="T T T"
Li 0.000 0.000 2.097
Li 1.240 2.075 2.166
Co 0.000 2.075 0.000
Ni 1.240 0.000 0.000
```

Output
Energy relative to the elements, eV/f.u.: 0.3
Energy relative to the lowest polymorph listed for this composition, meV/atom: 18.1
DOS(E_F), states/eV per atom: 0.41
SG: Immm (71)



Compound: Tb3Si2Cl5O6
Source: Alexandria via LeMat-Bulk
Functional: meta-GGA SCAN
Structure: PBEsol geometry

Cell and atoms, written as extended XYZ:
```
32
Lattice="7.403 0.010 0.001 0.154 7.401 0.001 1.898 1.861 11.260" Properties=species:S:1:pos:R:3 pbc="T T T"
Cl 5.781 1.666 4.726
Cl 7.185 7.046 7.432
Cl 4.038 3.960 7.183
Cl 5.216 5.115 0.013
Cl 4.239 4.157 11.250
Cl 7.677 3.525 6.536
Cl 2.271 2.227 3.831
Cl 5.417 5.312 4.079
Cl 3.674 7.606 6.536
Cl 1.779 5.747 4.726
Tb 1.975 5.567 7.521
Tb 3.702 0.005 0.001
Tb 7.481 3.706 3.742
Tb 5.604 1.866 7.521
Tb 0.077 3.701 0.001
Tb 3.851 7.407 3.742
O 1.178 6.357 0.001
O 8.707 4.474 9.316
O 7.566 7.420 2.233
O 2.665 6.654 9.316
O 1.889 1.853 9.029
O 0.748 4.798 1.946
O 6.379 1.054 0.001
O 4.812 0.655 1.946
O 6.705 2.535 9.316
O 4.643 8.618 9.316
O 2.751 6.738 1.947
O 6.790 2.619 1.947
Si 1.214 6.321 1.644
Si 6.343 1.090 1.644
Si 3.112 8.182 9.618
Si 8.241 2.952 9.618
```

Output
Energy relative to the elements, uncorrected, eV/f.u.: -48.931
DOS(E_F), states/eV per atom: 0.00
SG: C2/m (12)



Compound: HIrRh3
Source: Alexandria via LeMat-Bulk
Functional: meta-GGA SCAN
Structure: PBEsol geometry

Cell and atoms, written as extended XYZ:
```
5
Lattice="3.842 0.000 0.000 0.000 3.842 0.000 0.000 0.000 3.842" Properties=species:S:1:pos:R:3 pbc="T T T"
Rh 0.000 0.000 1.921
Rh 0.000 1.921 0.000
Rh 1.921 0.000 0.000
H 0.000 0.000 0.000
Ir 1.921 1.921 1.921
```

Output
DOS(E_F), states/eV per atom: 1.16
Final energy, eV for the cell shown: -175.46
SG: Pm-3m (221)



Compound: Ba6Na2Cr2Ru2O17
Source: Alexandria via LeMat-Bulk
Functional: meta-GGA SCAN
Structure: PBEsol geometry

Cell and atoms, written as extended XYZ:
```
58
Lattice="5.820 0.000 0.000 -2.910 5.041 0.000 0.000 0.000 29.389" Properties=species:S:1:pos:R:3 pbc="T T T"
O 1.538 0.888 16.835
O 0.000 3.360 14.830
O 1.350 4.140 19.723
O 0.000 1.776 12.553
O 4.261 0.901 5.028
O -1.350 4.140 19.723
O -1.372 4.153 2.141
O 1.560 0.901 9.666
O 2.910 3.239 5.028
O 0.000 4.981 22.042
O 1.372 4.153 2.141
O 1.372 4.153 12.553
O 2.910 3.265 16.835
O 2.910 1.680 0.136
O 0.000 1.801 24.361
O 2.910 3.265 27.248
O -1.350 4.140 24.361
O 2.910 0.060 7.347
O 2.910 3.239 9.666
O 1.507 2.490 7.347
O 0.000 3.360 29.253
O 4.261 0.901 9.666
O -1.372 4.153 12.553
O 1.350 4.140 24.361
O 1.560 0.901 5.028
O 1.403 2.550 22.042
O 0.000 1.776 2.141
O 1.538 0.888 27.248
O 2.910 1.680 14.558
O 4.282 0.888 16.835
O -1.403 2.550 22.042
O 0.000 1.801 19.723
O 4.314 2.490 7.347
O 4.282 0.888 27.248
Ba 0.000 3.360 17.501
Ba 0.000 3.360 5.276
Ba 2.910 1.680 24.113
Ba 2.910 1.680 19.970
Ba 2.910 1.680 11.888
Ba 0.000 0.000 0.000
Ba 0.000 3.360 26.582
Ba 0.000 0.000 14.694
Ba 2.910 1.680 2.807
Ba 0.000 0.000 7.347
Ba 0.000 0.000 22.042
Ba 0.000 3.360 9.418
Cr 0.000 3.360 13.161
Cr 2.910 1.680 27.855
Cr 2.910 1.680 16.228
Cr 0.000 3.360 1.534
Na 0.000 0.000 10.982
Na 0.000 0.000 18.406
Na 0.000 0.000 25.677
Na 0.000 0.000 3.712
Ru 2.910 1.680 8.583
Ru 0.000 3.360 20.806
Ru 0.000 3.360 23.277
Ru 2.910 1.680 6.112
```

Output
Energy relative to the elements, uncorrected, eV/f.u.: -69.877
DOS(E_F), states/eV per atom: 0.41
SG: P6_3/mmc (194)



Compound: Ti3Co2NiP6O24
Source: Alexandria via LeMat-Bulk
Functional: meta-GGA SCAN
Structure: PBEsol geometry

Cell and atoms, written as extended XYZ:
```
36
Lattice="8.355 -0.041 -0.029 4.012 7.329 -0.029 4.012 2.364 6.937" Properties=species:S:1:pos:R:3 pbc="T T T"
O 11.249 2.372 5.116
O 8.811 1.971 0.309
O 13.341 6.858 6.884
O 6.199 5.375 3.050
O 4.254 3.504 3.412
O 10.536 8.070 4.606
O 7.039 5.153 6.832
O 14.113 7.436 4.236
O 5.883 1.606 2.199
O 5.126 3.886 0.800
O 8.721 5.932 5.215
O 9.413 6.481 2.794
O 10.530 2.215 2.641
O 10.230 4.304 3.905
O 7.705 3.803 1.669
O 11.217 5.833 6.125
O 12.463 9.232 5.646
O 7.060 3.176 4.086
O 10.357 7.124 0.572
O 7.524 7.673 6.547
O 12.164 6.086 3.515
O 5.992 2.496 6.283
O 7.918 7.653 1.232
O 5.086 7.255 1.762
Co 0.019 0.011 0.008
Co 8.221 4.845 3.453
P 11.149 3.053 3.708
P 6.997 2.093 5.201
P 9.338 7.573 1.676
P 8.288 3.409 0.281
P 5.220 6.583 3.131
P 8.071 6.205 6.612
Ni 2.286 1.347 0.960
Ti 14.082 8.300 5.915
Ti 10.528 6.205 4.422
Ti 5.859 3.453 2.461
```

Output
Energy relative to the elements, uncorrected, eV/f.u.: -89.198
DOS(E_F), states/eV per atom: 0.35
SG: R3 (146)



Compound: MgZrHg2
Source: Alexandria via LeMat-Bulk
Functional: meta-GGA SCAN
Structure: PBEsol geometry

Cell and atoms, written as extended XYZ:
```
4
Lattice="-1.247 1.543 2.534 -0.750 -2.824 1.350 6.962 -0.163 3.526" Properties=species:S:1:pos:R:3 pbc="T T T"
Hg 5.273 -0.123 2.670
Hg 1.689 -0.039 0.855
Mg -0.999 -0.641 1.942
Zr 2.483 -0.722 3.705
```

Output
Energy relative to the elements, eV/f.u.: -1.5
DOS(E_F), states/eV per atom: 0.52
SG: P4/mmm (123)



Compound: ScCr2Br
Source: Alexandria via LeMat-Bulk
Functional: meta-GGA SCAN
Structure: PBEsol geometry

Cell and atoms, written as extended XYZ:
```
4
Lattice="-0.573 1.521 -2.608 -0.333 -2.690 -1.495 -6.831 1.350 2.290" Properties=species:S:1:pos:R:3 pbc="T T T"
Sc -3.376 -0.502 0.450
Br -5.350 1.606 0.303
Cr -2.069 -1.088 -1.990
Cr -0.526 -0.505 -0.179
```

Output
Energy relative to the elements, uncorrected, eV/f.u.: -0.692
Energy relative to the lowest polymorph listed for this composition, meV/atom: 0.0
DOS(E_F), states/eV per atom: 0.56
SG: Amm2 (38)



Compound: TlCo2Tc
Source: Alexandria via LeMat-Bulk
Functional: meta-GGA SCAN
Structure: PBEsol geometry

Cell and atoms, written as extended XYZ:
```
4
Lattice="-1.091 2.401 1.113 -2.645 -1.005 -0.427 0.078 -2.843 6.208" Properties=species:S:1:pos:R:3 pbc="T T T"
Tc 0.035 -1.276 2.786
Tl -1.809 -1.481 5.103
Co 0.004 -0.130 0.284
Co -1.850 0.019 1.826
```

Output
Energy relative to the elements, eV/f.u.: 1.9
Energy relative to the lowest polymorph listed for this composition, meV/atom: 0.0
DOS(E_F), states/eV per atom: 0.66
SG: P4mm (99)



Compound: Li2MnF5
Source: Alexandria via LeMat-Bulk
Functional: meta-GGA SCAN
Structure: PBEsol geometry

Cell and atoms, written as extended XYZ:
```
32
Lattice="-4.529 -0.199 -3.819 -2.979 -5.618 3.826 -4.199 5.424 4.697" Properties=species:S:1:pos:R:3 pbc="T T T"
Mn -11.685 -0.392 4.721
Mn -8.096 -0.296 0.460
Mn -5.832 -0.195 2.370
Mn -2.244 -0.099 -1.891
F -6.795 1.058 1.147
F -4.869 -1.449 3.593
F -6.960 -0.772 -0.861
F -7.998 -4.164 0.546
F -5.930 3.673 2.284
F -4.530 1.157 3.056
F -6.967 0.281 3.692
F -9.583 -3.104 2.375
F -7.500 0.260 6.625
F -9.232 0.181 1.782
F -7.929 2.517 4.719
F -4.341 2.613 0.459
F -9.764 0.161 4.716
F -8.194 3.573 0.375
F -4.164 -0.652 -1.884
F -7.133 -1.548 1.685
F -4.697 -0.672 1.048
F -5.996 -3.008 -1.886
F -1.899 -0.553 0.025
F -5.733 -4.064 2.456
Li -7.651 -3.304 2.393
Li -5.386 -3.205 4.301
Li -6.491 1.384 5.371
Li -5.171 -1.775 -0.629
Li -6.275 2.814 0.441
Li -2.906 -1.676 1.280
Li -4.010 2.913 2.350
Li -8.755 1.285 3.463
```

Output
Energy relative to the elements, uncorrected, eV/f.u.: -23.555
SG: Pbam (55)



Compound: ZrPBr
Source: Alexandria via LeMat-Bulk
Functional: meta-GGA SCAN
Structure: PBEsol geometry

Cell and atoms, written as extended XYZ:
```
3
Lattice="3.184 0.000 0.000 0.000 4.551 0.000 0.000 -2.275 3.941" Properties=species:S:1:pos:R:3 pbc="T T T"
Br 1.592 0.000 0.000
Zr 1.592 2.275 1.314
P 0.000 0.000 2.627
```

Output
Energy relative to the elements, uncorrected, eV/f.u.: -1.408
DOS(E_F), states/eV per atom: 0.27
SG: P-6m2 (187)



no.,V (Å³ per atom)
1,16.3
2,10.8
3,11.0
4,19.3
5,11.3
6,14.9
7,11.9
8,20.2
9,17.0
10,14.0
11,11.4
12,19.0